1.
K2AgGeCl6 (PBE-GGA, optimized geometry); space group = No. 225; electronic total energy = -32.6 eV/cell
1.0
0.6353 -7.1198 1.1959
-3.9131 -4.6925 -3.8978
3.2475 -4.2241 -4.9128
Cl K Ge Ag
6 2 1 1
Cartesian
-0.3308 -8.4542 -6.2356
-1.5986 -9.8596 -3.2708
1.5684 -6.1768 -4.3439
0.3005 -7.5822 -1.3791
-1.9070 -6.4041 -3.8512
1.8767 -9.6322 -3.7635
-0.0227 -12.0273 -5.7110
-0.0076 -4.0091 -1.9037
-0.0151 -8.0182 -3.8073
0.0000 0.0000 0.0000

2.
RbEr2Cu3Se5 (PBE-GGA, optimized geometry); space group = No. 63; electronic total energy = -102.0 eV/cell
1.0
4.1011 0.0000 0.0000
2.0505 7.2683 0.0000
0.0000 0.0000 17.0130
Se Er Rb Cu
10 4 2 6
Cartesian
2.0506 3.5669 4.2533
4.1011 0.8792 1.9813
4.1011 0.8792 6.5252
2.0506 2.4293 9.7211
2.0506 2.4293 15.7985
2.0506 6.3890 15.0317
4.1011 4.8389 1.2145
2.0506 6.3890 10.4878
4.1011 3.7014 12.7598
4.1011 4.8389 7.2920
4.1011 4.4780 10.0762
2.0506 2.7903 1.5697
2.0506 2.7903 6.9369
4.1011 4.4780 15.4434
4.1011 6.3757 4.2533
2.0506 0.8925 12.7598
2.0506 4.9786 12.7598
4.1011 1.2177 9.0386
2.0506 6.0506 7.9744
4.1011 1.2177 16.4809
2.0506 6.0506 0.5321
4.1011 2.2897 4.2533

3.
SmTaHg (PBE-GGA, optimized geometry); space group = No. 216; electronic total energy = -13.2 eV/cell
1.0
0.0000 3.5020 3.5020
3.5020 0.0000 3.5020
3.5020 3.5020 0.0000
Ta Sm Hg
1 1 1
Cartesian
5.2530 5.2530 5.2530
0.0000 0.0000 0.0000
1.7510 1.7510 1.7510

4.
PuScIr (PBE-GGA, optimized geometry); space group = No. 216; energy above the lowest structure with this stoichiometry = 0.0 meV per atom; electronic total energy = -30.9 eV/cell
1.0
2.9811 1.0823 3.4101
4.5665 -0.6962 -0.5912
2.8669 3.6381 -0.4811
Pu Sc Ir
1 1 1
Cartesian
7.8108 3.0182 1.7533
2.6036 1.0061 0.5844
0.0000 0.0000 0.0000

5.
NpGaNi (PBE-GGA, optimized geometry); space group = No. 216; electronic total energy = -21.4 eV/cell
1.0
0.0000 3.0319 3.0319
3.0319 0.0000 3.0319
3.0319 3.0319 0.0000
Ni Np Ga
1 1 1
Cartesian
1.5160 1.5160 1.5160
3.0319 3.0319 3.0319
0.0000 0.0000 0.0000

6.
CsNb3Bi5 (PBE-GGA, optimized geometry); space group = No. 191; electronic total energy = -52.5 eV/cell
1.0
-2.5711 1.2730 -5.1539
5.2565 -2.6748 0.0926
-4.1795 -8.2114 0.0568
Cs Nb Bi
1 3 5
Cartesian
0.0000 0.0000 0.0000
-3.3753 -3.4692 -2.5485
0.5385 -5.4431 0.0747
-0.7470 -4.8066 -2.5022
1.6843 -3.2509 -1.6432
-2.0897 -4.1057 0.0284
-3.1783 -6.3623 -3.3613
-0.9249 -1.9350 -3.3920
-0.5692 -7.6782 -1.6125

7.
ZrFe2 (PBE-GGA, optimized geometry); space group = No. 136; electronic total energy = -43.3 eV/cell
1.0
-2.4723 -3.1308 2.7159
4.0698 -2.4323 0.9009
0.7643 2.6815 3.7870
Fe Zr
4 2
Cartesian
3.4390 -1.1997 3.0754
-1.0771 -1.6819 4.3284
0.5514 -1.9201 1.2483
1.0461 -3.6430 2.3684
1.1809 -1.4408 3.7019
0.0000 0.0000 0.0000

8.
DyTm2Mg3Ga3 (PBE-GGA, optimized geometry); space group = No. 38; electronic total energy = -31.6 eV/cell
1.0
4.4059 0.0000 0.0000
0.0000 6.2660 3.5986
0.0000 -6.2660 3.5986
Ga Dy Mg Tm
3 1 3 2
Cartesian
2.2030 -2.1043 3.6015
2.2030 2.1043 3.6015
0.0000 0.0000 7.1783
0.0000 0.0000 3.0850
2.2030 4.7420 4.4732
2.2030 0.0000 5.4459
2.2030 -4.7420 4.4732
0.0000 -3.5866 2.0641
0.0000 3.5866 2.0641

9.
Sr2TbAl7Ag2 (PBE-GGA, optimized geometry); space group = No. 166; electronic total energy = -43.3 eV/cell
1.0
2.8442 1.6421 9.0613
-2.8442 1.6421 9.0613
0.0000 -3.2842 9.0613
Ag Al Sr Tb
2 7 2 1
Cartesian
0.0000 0.0000 9.1278
0.0000 0.0000 18.0563
0.0000 -1.6695 15.9510
0.0000 1.6694 11.2330
1.4458 -0.8347 11.2330
1.4458 0.8347 15.9510
-1.4458 0.8347 15.9510
-1.4458 -0.8347 11.2330
0.0000 0.0000 13.5920
0.0000 0.0000 23.3111
0.0000 0.0000 3.8730
0.0000 0.0000 0.0000

10.
GaCu3Pb (PBE-GGA, optimized geometry); space group = No. 167; electronic total energy = -31.5 eV/cell
1.0
3.7184 2.1468 3.8232
-3.7184 2.1468 3.8232
0.0000 -4.2936 3.8232
Cu Pb Ga
6 2 2
Cartesian
2.5025 -0.0408 4.7790
-1.2159 2.1876 4.7790
-2.5025 0.0408 6.6905
1.2865 2.1468 6.6905
-1.2865 -2.1468 4.7790
1.2159 -2.1876 6.6905
0.0000 0.0000 0.0000
0.0000 0.0000 5.7347
0.0000 0.0000 2.8674
0.0000 0.0000 8.6021

11.
HoErAlOs2 (PBE-GGA, optimized geometry); space group = No. 44; electronic total energy = -37.5 eV/cell
1.0
-2.0958 2.7995 4.3182
2.0958 -2.7995 4.3182
2.0958 2.7995 -4.3182
Ho Al Er Os
1 1 1 2
Cartesian
0.0000 2.7995 1.7514
0.0000 0.0000 0.0000
2.0958 0.0000 2.5669
0.0000 1.2471 4.3180
2.0958 1.5524 -0.0001

12.
K2FeAuCl6 (PBE-GGA, optimized geometry); space group = No. 225; electronic total energy = -35.4 eV/cell
1.0
-4.0731 -3.3586 -4.7325
-6.3412 2.6534 -1.7363
-1.0261 2.8152 -6.4256
K Cl Au Fe
2 6 1 1
Cartesian
-2.8601 0.5275 -3.2236
-8.5803 1.5825 -9.6707
-4.8602 -1.2495 -5.5518
-8.1712 0.1359 -6.4584
-3.2692 1.9741 -6.4359
-5.3959 0.2204 -8.9069
-6.0445 1.8896 -3.9874
-6.5802 3.3595 -7.3425
-5.7202 1.0550 -6.4472
0.0000 0.0000 0.0000